No. 1
! CaCu2Mo, single point on PBEsol structure, DFT SCAN; values from VASP
&SYSTEM
  ibrav = 0, nat = 4, ntyp = 3
/
ATOMIC_SPECIES
Mo 95.94 Mo.upf
Cu 63.55 Cu.upf
Ca 40.08 Ca.upf
ATOMIC_POSITIONS crystal
Mo 0.4766 0.4258 0.9531
Cu 0.7268 0.2967 0.4535
Ca 0.2675 0.8104 0.5351
Cu 0.0291 0.9670 0.0582
CELL_PARAMETERS angstrom
-2.6322 -0.1760 0.0941
-0.0043 -2.2486 -4.3240
1.6814 -3.5037 3.4516
! * offset from the most stable computed form: 0.0 meV/atom
! * mass density: 7.05 g/cm3

No. 2
! Ca3CuMo, single point on PBEsol structure, DFT SCAN; values from VASP
&SYSTEM
  ibrav = 0, nat = 5, ntyp = 3
/
ATOMIC_SPECIES
Ca 40.08 Ca.upf
Cu 63.55 Cu.upf
Mo 95.94 Mo.upf
ATOMIC_POSITIONS crystal
Ca 0.5000 0.0000 0.0000
Cu 0.5000 0.5000 0.5000
Ca 0.0000 0.5000 0.0000
Ca 0.0000 0.0000 0.5000
Mo 0.0000 0.0000 0.0000
CELL_PARAMETERS angstrom
5.2874 0.0000 0.0000
0.0000 5.2874 0.0000
0.0000 0.0000 5.2874
! * uncorrected energy: -73.35 eV per cell
! * mass density: 3.14 g/cm3

No. 3
! Ca2CuMo, single point on PBEsol structure, DFT SCAN; values from VASP
&SYSTEM
  ibrav = 0, nat = 4, ntyp = 3
/
ATOMIC_SPECIES
Cu 63.55 Cu.upf
Mo 95.94 Mo.upf
Ca 40.08 Ca.upf
ATOMIC_POSITIONS crystal
Cu 0.5241 0.5241 0.0483
Mo 0.2063 0.7063 0.4126
Ca 0.7821 0.2821 0.5642
Ca 0.9875 0.9875 0.9749
CELL_PARAMETERS angstrom
3.0638 0.0000 0.0000
0.0000 5.1157 0.0000
-1.5319 -2.5578 5.4468
! * uncorrected energy: -67.07 eV per cell
! * mass density: 4.66 g/cm3

No. 4
! CaCu3Mo4O12, single point on PBEsol structure, DFT SCAN; values from VASP
&SYSTEM
  ibrav = 0, nat = 20, ntyp = 4
/
ATOMIC_SPECIES
Mo 95.94 Mo.upf
O 16.00 O.upf
Cu 63.55 Cu.upf
Ca 40.08 Ca.upf
ATOMIC_POSITIONS crystal
Mo 0.0000 0.0000 0.5000
O 0.7007 0.8835 0.1828
Cu 0.0000 0.5000 0.5000
Cu 0.5000 0.5000 0.0000
O 0.1165 0.8172 0.2993
Cu 0.5000 0.0000 0.5000
Ca 0.0000 0.0000 0.0000
O 0.5179 0.8172 0.7007
O 0.1828 0.7007 0.8835
O 0.8172 0.2993 0.1165
O 0.8835 0.1828 0.7007
O 0.7007 0.5179 0.8172
Mo 0.5000 0.5000 0.5000
O 0.8172 0.7007 0.5179
O 0.2993 0.1165 0.8172
O 0.2993 0.4821 0.1828
O 0.1828 0.2993 0.4821
O 0.4821 0.1828 0.2993
Mo 0.5000 0.0000 0.0000
Mo 0.0000 0.5000 0.0000
CELL_PARAMETERS angstrom
6.4744 0.0000 0.0000
-2.1581 6.1041 0.0000
-2.1581 -3.0520 5.2863
! * raw formation energy: -1.8063 eV/atom
! * mass density: 6.41 g/cm3

No. 5
! CaCu3N, single point on PBEsol structure, DFT SCAN; values from VASP
&SYSTEM
  ibrav = 0, nat = 5, ntyp = 3
/
ATOMIC_SPECIES
Ca 40.08 Ca.upf
Cu 63.55 Cu.upf
N 14.01 N.upf
ATOMIC_POSITIONS crystal
Ca 0.0000 0.0000 0.0000
Cu 0.0000 0.0000 0.5000
Cu 0.0000 0.5000 0.0000
N 0.5000 0.5000 0.5000
Cu 0.5000 0.0000 0.0000
CELL_PARAMETERS angstrom
-3.1426 2.4325 3.2816
3.0045 -1.4287 3.9362
2.7675 4.3132 -0.5469
! * raw formation energy: 2.3468 eV/atom
! * mass density: 2.97 g/cm3

No. 6
! CaCuN2, single point on PBEsol structure, DFT SCAN; values from VASP
&SYSTEM
  ibrav = 0, nat = 4, ntyp = 3
/
ATOMIC_SPECIES
N 14.01 N.upf
Ca 40.08 Ca.upf
Cu 63.55 Cu.upf
ATOMIC_POSITIONS crystal
N 0.1085 0.1085 0.6746
Ca 0.5000 0.5000 0.5000
N 0.8915 0.8915 0.3254
Cu 0.0000 0.0000 0.0000
CELL_PARAMETERS angstrom
3.8270 0.0000 0.0000
1.9135 3.3143 0.0000
1.9135 1.1048 5.2304
! * raw formation energy: 0.4883 eV/atom
! * mass density: 3.29 g/cm3